(1)
Compound: AlNi6Sb
Source: Alexandria via LeMat-Bulk
Functional: PBE-GGA
Structure: relaxed

Properties
ΔE to the lowest computed polymorph	0.02	eV/f.u.
raw formation energy	-301	meV/atom
SG	Cmmm, No. 65

Cell lengths 6.3158, 6.3158, 10.3325 Å; angles 90.00, 90.00, 109.43 degrees
Element x y z (fractional)
Ni: 0.0000 0.0000 0.7500
Ni: 0.8675 0.6223 0.1206
Ni: 0.7452 0.2548 0.5060
Ni: 0.6223 0.8675 0.3794
Ni: 0.8724 0.6177 0.6290
Ni: 0.1276 0.3823 0.6290
Ni: 0.6177 0.8724 0.8710
Ni: 0.5000 0.5000 0.7500
Ni: 0.3777 0.1325 0.1206
Ni: 0.8675 0.6223 0.3794
Ni: 0.3823 0.1276 0.6290
Ni: 0.2548 0.7452 0.9940
Ni: 0.0000 0.0000 0.2500
Ni: 0.2548 0.7452 0.5060
Ni: 0.3777 0.1325 0.3794
Ni: 0.1276 0.3823 0.8710
Ni: 0.5000 0.5000 0.2500
Ni: 0.1325 0.3777 0.3794
Ni: 0.6223 0.8675 0.1206
Ni: 0.1325 0.3777 0.1206
Ni: 0.3823 0.1276 0.8710
Ni: 0.7452 0.2548 0.9940
Ni: 0.8724 0.6177 0.8710
Ni: 0.6177 0.8724 0.6290
Al: 0.5000 0.5000 0.9928
Al: 0.2497 0.7503 0.7500
Al: 0.7503 0.2497 0.7500
Al: 0.5000 0.5000 0.5072
Sb: 0.0000 0.0000 0.5068
Sb: 0.2492 0.7508 0.2500
Sb: 0.7508 0.2492 0.2500
Sb: 0.0000 0.0000 0.9932

(2)
Compound: Th2Cu3Sb
Source: Alexandria via LeMat-Bulk
Functional: PBE-GGA
Structure: relaxed

Properties
raw formation energy	-379	meV/atom
SG	Fmmm, No. 69

Cell lengths 5.8698, 5.8698, 8.5818 Å; angles 106.69, 106.69, 99.23 degrees
Element x y z (fractional)
Cu: 0.8390 0.8390 0.6780
Cu: 0.6768 0.1622 0.8389
Cu: 0.1610 0.1610 0.3220
Cu: 0.8378 0.3232 0.1611
Cu: 0.3232 0.8378 0.1611
Cu: 0.1622 0.6768 0.8389
Th: 0.7671 0.7671 0.0000
Th: 0.2500 0.7500 0.5000
Th: 0.2329 0.2329 0.0000
Th: 0.7500 0.2500 0.5000
Sb: 0.6653 0.6653 0.3307
Sb: 0.3347 0.3347 0.6693

(3)
Compound: KLi2Be
Source: Alexandria via LeMat-Bulk
Functional: PBE-GGA
Structure: relaxed

Properties
E_form	0.472	eV per atom
SG	Pm, No. 6

Cell lengths 4.1309, 3.0433, 8.0557 Å; angles 79.44, 90.00, 90.00 degrees
Element x y z (fractional)
Be: 0.0000 0.5067 0.3785
K: 0.5000 0.8179 0.7122
Li: 0.5000 0.0440 0.3106
Li: 0.0000 0.1314 0.0987

(4)
Compound: Sm2Zn3Cu12Pt
Source: Alexandria via LeMat-Bulk
Functional: PBE-GGA
Structure: relaxed

Properties
E_form	0.068	eV per atom
SG	R-3m, No. 166

Cell lengths 9.8049, 9.8049, 9.8049 Å; angles 36.40, 36.40, 36.40 degrees
Element x y z (fractional)
Cu: 0.5811 0.1922 0.5811
Cu: 0.0764 0.0764 0.6331
Cu: 0.8078 0.4189 0.4189
Cu: 0.6331 0.0764 0.0764
Cu: 0.9236 0.9236 0.3669
Cu: 0.4189 0.8078 0.4189
Cu: 0.4189 0.4189 0.8078
Cu: 0.9236 0.3669 0.9236
Cu: 0.5811 0.5811 0.1922
Cu: 0.0764 0.6331 0.0764
Cu: 0.3669 0.9236 0.9236
Cu: 0.1922 0.5811 0.5811
Sm: 0.6478 0.6478 0.6478
Sm: 0.3522 0.3522 0.3522
Pt: 0.0000 0.0000 0.0000
Zn: 0.0000 0.5000 0.0000
Zn: 0.5000 0.0000 0.0000
Zn: 0.0000 0.0000 0.5000

(5)
Compound: MoAuI2N
Source: Alexandria via LeMat-Bulk
Functional: PBE-GGA
Structure: relaxed

Properties
ΔE to the lowest computed polymorph	0.00	eV/f.u.
raw formation energy	470	meV/atom
SG	P4/mmm, No. 123

Cell lengths 5.5721, 5.5721, 3.8211 Å; angles 90.00, 90.00, 90.00 degrees
Element x y z (fractional)
Mo: 0.0000 0.0000 0.0000
Au: 0.5000 0.5000 0.5000
I: 0.5000 0.0000 0.0000
I: 0.0000 0.5000 0.0000
N: 0.0000 0.0000 0.5000

(6)
Compound: Tb2UO6
Source: Alexandria via LeMat-Bulk
Functional: PBE-GGA
Structure: relaxed

Properties
ΔE to the lowest computed polymorph	0.36	eV/f.u.
raw formation energy	-3419	meV/atom
SG	P4_2/mnm, No. 136

Cell lengths 5.1135, 5.1135, 10.5040 Å; angles 90.00, 90.00, 90.00 degrees
Element x y z (fractional)
O: 0.1844 0.8156 0.8451
O: 0.6844 0.6844 0.3451
O: 0.2910 0.2910 0.0000
O: 0.3156 0.3156 0.6549
O: 0.7090 0.7090 0.0000
O: 0.3156 0.3156 0.3451
O: 0.7910 0.2090 0.5000
O: 0.8156 0.1844 0.1549
O: 0.6844 0.6844 0.6549
O: 0.8156 0.1844 0.8451
O: 0.2090 0.7910 0.5000
O: 0.1844 0.8156 0.1549
Tb: 0.0000 0.0000 0.6662
Tb: 0.5000 0.5000 0.8338
Tb: 0.5000 0.5000 0.1662
Tb: 0.0000 0.0000 0.3338
U: 0.5000 0.5000 0.5000
U: 0.0000 0.0000 0.0000

(7)
Compound: TbDy2TmSe4
Source: Alexandria via LeMat-Bulk
Functional: PBE-GGA
Structure: relaxed

Properties
raw formation energy	-1729	meV/atom
SG	P2/m, No. 10

Cell lengths 4.0133, 7.0486, 7.0963 Å; angles 71.17, 90.00, 90.00 degrees
Element x y z (fractional)
Se: 0.5000 0.7466 0.2547
Se: 0.0000 0.2507 0.2533
Se: 0.5000 0.2534 0.7453
Se: 0.0000 0.7493 0.7467
Dy: 0.5000 0.0000 0.5000
Dy: 0.0000 0.0000 0.0000
Tb: 0.5000 0.5000 0.0000
Tm: 0.0000 0.5000 0.5000

(8)
Compound: AgSnS2Cl
Source: Alexandria via LeMat-Bulk
Functional: PBE-GGA
Structure: relaxed

Properties
ΔE to the lowest computed polymorph	0.00	eV/f.u.
raw formation energy	117	meV/atom
SG	P4/mmm, No. 123

Cell lengths 4.9937, 4.9937, 5.2162 Å; angles 90.00, 90.00, 90.00 degrees
Element x y z (fractional)
Sn: 0.0000 0.0000 0.0000
Ag: 0.5000 0.5000 0.5000
S: 0.5000 0.0000 0.0000
S: 0.0000 0.5000 0.0000
Cl: 0.0000 0.0000 0.5000

(9)
Compound: CdPbSeN2
Source: Alexandria via LeMat-Bulk
Functional: PBE-GGA
Structure: relaxed

Properties
ΔE to the lowest computed polymorph	0.42	eV/f.u.
raw formation energy	1431	meV/atom
SG	P4/mmm, No. 123

Cell lengths 4.4477, 4.4477, 5.9676 Å; angles 90.00, 90.00, 90.00 degrees
Each line ends with the local moment (μB).
Element x y z (fractional)
Se: 0.0000 0.0000 0.5000  0.08
N: 0.0000 0.5000 0.0000  0.92
N: 0.5000 0.0000 0.0000  0.92
Pb: 0.0000 0.0000 0.0000  -0.05
Cd: 0.5000 0.5000 0.5000  0.01

(10)
Compound: ZrTlSe2
Source: Alexandria via LeMat-Bulk
Functional: PBE-GGA
Structure: relaxed

Properties
raw formation energy	-308	meV/atom
SG	I-4m2, No. 119

Cell lengths 6.0808, 6.0808, 6.0808 Å; angles 140.35, 140.35, 57.32 degrees
Element x y z (fractional)
Zr: 0.7500 0.2500 0.5000
Se: 0.0000 0.0000 0.0000
Se: 0.2500 0.7500 0.5000
Tl: 0.5000 0.5000 0.0000

(11)
Compound: Ac5LaBi6
Source: Alexandria via LeMat-Bulk
Functional: PBE-GGA
Structure: relaxed

Properties
E_form	-1.011	eV per atom
SG	C2/m, No. 12

Cell lengths 8.4053, 8.4053, 8.4059 Å; angles 99.59, 99.59, 119.99 degrees
Element x y z (fractional)
Ac: 0.6660 0.3340 0.0000
Ac: 0.3340 0.6660 0.0000
Ac: 0.8318 0.1682 0.5000
Ac: 0.5000 0.5000 0.5000
Ac: 0.1682 0.8318 0.5000
Bi: 0.4096 0.0818 0.2460
Bi: 0.0818 0.4096 0.2460
Bi: 0.2449 0.2449 0.7524
Bi: 0.9182 0.5904 0.7540
Bi: 0.7551 0.7551 0.2476
Bi: 0.5904 0.9182 0.7540
La: 0.0000 0.0000 0.0000

(12)
Compound: CoNiTe2I
Source: Alexandria via LeMat-Bulk
Functional: PBE-GGA
Structure: relaxed

Properties
ΔE to the lowest computed polymorph	0.00	eV/f.u.
raw formation energy	827	meV/atom
SG	P4/mmm, No. 123

Cell lengths 4.9200, 4.9200, 5.3968 Å; angles 90.00, 90.00, 90.00 degrees
Each line ends with the local moment (μB).
Element x y z (fractional)
Te: 0.0000 0.5000 0.0000  0.11
Te: 0.5000 0.0000 0.0000  0.11
Ni: 0.5000 0.5000 0.5000  0.84
I: 0.0000 0.0000 0.5000  0.04
Co: 0.0000 0.0000 0.0000  0.34